# 1
{
  "formula": "Ti3VS6",
  "functional": "PBE-GGA",
  "state": "relaxed",
  "space_group": "R-3",
  "dft_energy_ev_per_atom": -7.04,
  "cell": [[2.959, 1.709, 5.610], [-2.959, 1.709, 5.610], [0.000, -3.417, 5.610]],
  "species": ["Ti", "Ti", "Ti", "V", "S", "S", "S", "S", "S", "S"],
  "fractional_positions": [[0.000, 0.000, 0.000], [0.335, 0.335, 0.335], [0.665, 0.665, 0.665], [0.500, 0.500, 0.500], [0.086, 0.756, 0.419], [0.244, 0.581, 0.914], [0.419, 0.086, 0.756], [0.581, 0.914, 0.244], [0.756, 0.419, 0.086], [0.914, 0.244, 0.581]]
}



# 2
{
  "formula": "TiV2S4",
  "functional": "PBE-GGA",
  "state": "relaxed",
  "e_above_lowest_polymorph_mev_per_atom": 0.0,
  "space_group": "Fd-3m",
  "dft_energy_ev_per_atom": -7.00,
  "cell": [[0.000, 5.105, 5.105], [5.105, 0.000, 5.105], [5.105, 5.105, 0.000]],
  "species": ["Ti", "Ti", "V", "V", "V", "V", "S", "S", "S", "S", "S", "S", "S", "S"],
  "fractional_positions": [[0.125, 0.125, 0.125], [0.875, 0.875, 0.875], [0.000, 0.500, 0.500], [0.500, 0.000, 0.500], [0.500, 0.500, 0.000], [0.500, 0.500, 0.500], [0.258, 0.258, 0.258], [0.258, 0.258, 0.726], [0.258, 0.726, 0.258], [0.274, 0.742, 0.742], [0.726, 0.258, 0.258], [0.742, 0.274, 0.742], [0.742, 0.742, 0.274], [0.742, 0.742, 0.742]]
}



# 3
{
  "formula": "Ti2VS3",
  "functional": "PBE-GGA",
  "state": "relaxed",
  "space_group": "Cmcm",
  "dft_energy_ev_per_atom": -7.25,
  "cell": [[5.087, -4.255, 0.000], [5.087, 4.255, 0.000], [0.000, 0.000, 4.600]],
  "species": ["Ti", "Ti", "Ti", "Ti", "V", "V", "S", "S", "S", "S", "S", "S"],
  "fractional_positions": [[0.026, 0.641, 0.750], [0.359, 0.974, 0.750], [0.641, 0.026, 0.250], [0.974, 0.359, 0.250], [0.308, 0.692, 0.250], [0.692, 0.308, 0.750], [0.048, 0.279, 0.750], [0.279, 0.048, 0.250], [0.391, 0.609, 0.750], [0.609, 0.391, 0.250], [0.721, 0.952, 0.750], [0.952, 0.721, 0.250]]
}



Per-record theoretical density, Mg/m³: 3.78; 3.47; 4.05
Per-record E_form (uncorrected), eV/f.u.: -12.80; -6.39; -6.24
Per-record calculated volume, Å³/cell: 170; 266; 199